Record 1
First-principles (meta-GGA SCAN) data for a PBEsol-optimized structure of BaRePb2, as listed in the Alexandria database.

Cell: 7.3579 7.3579 7.3579 Å, 90.00 90.00 90.00°
Fractional positions:
Ba 0.0000 0.0000 0.0000
Ba 0.0000 0.5000 0.5000
Ba 0.5000 0.0000 0.5000
Ba 0.5000 0.5000 0.0000
Re 0.0000 0.0000 0.5000
Re 0.0000 0.5000 0.0000
Re 0.5000 0.0000 0.0000
Re 0.5000 0.5000 0.5000
Pb 0.2500 0.2500 0.2500
Pb 0.2500 0.2500 0.7500
Pb 0.2500 0.7500 0.2500
Pb 0.2500 0.7500 0.7500
Pb 0.7500 0.2500 0.2500
Pb 0.7500 0.2500 0.7500
Pb 0.7500 0.7500 0.2500
Pb 0.7500 0.7500 0.7500

Values from the calculation:
Symmetry ... No. 225
Energy of formation ... 0.7084 eV per atom
N(E_F) ... 1.167 states/eV/atom

---

Record 2
First-principles (meta-GGA SCAN) data for a PBEsol-optimized structure of Cr2AgP, as listed in the Alexandria database.

Cell: 2.9728 4.1864 8.4987 Å, 90.00 90.00 90.00°
Fractional positions:
Cr 0.0000 0.0000 0.0000
Cr 0.0000 0.5000 0.2239
Cr 0.5000 0.0000 0.7239
Cr 0.5000 0.5000 0.5000
Ag 0.0000 0.0000 0.4474
Ag 0.5000 0.5000 0.9474
P 0.0000 0.5000 0.7058
P 0.5000 0.0000 0.2058

Values from the calculation:
Symmetry ... No. 44
Energy of formation ... 0.1566 eV per atom
N(E_F) ... 0.398 states/eV/atom

---

Record 3
First-principles (meta-GGA SCAN) data for a PBEsol-optimized structure of BaTe3C, as listed in the Alexandria database.

Cell: 6.6173 6.6173 6.6173 Å, 90.00 90.00 90.00°
Fractional positions:
Ba 0.0000 0.0000 0.0000
Te 0.0000 0.0000 0.5000
Te 0.0000 0.5000 0.0000
Te 0.5000 0.0000 0.0000
C 0.5000 0.5000 0.5000

Values from the calculation:
Energy relative to the elements, uncorrected ... 1.713 eV per atom
Symmetry ... No. 221
N(E_F) ... 2.810 states/eV/atom